Record 1
Entry from the Alexandria database: Zr2TcSe after structural relaxation (PBE).

Computed properties:
The density of states at the Fermi level comes out at 2.301 states/eV/cell. The formation energy from raw total energies comes out at -623 meV per atom. The calculation puts the total energy at -8.36 eV/atom.

a b c (Å): 3.340 3.340 6.816
angles (deg): 90.00 90.00 90.00
Space group P4/mmm (No. 123)
Asymmetric unit:
Zr: 0.000 0.000 0.232 [2 per cell]
Tc: 0.500 0.500 0.000 [1 per cell]
Se: 0.500 0.500 0.500 [1 per cell]

Record 2
Entry from the Alexandria database: Mg2GaSn after structural relaxation (PBE).

Computed properties:
The density of states at the Fermi level comes out at 1.891 states/eV/cell. The calculation puts the total energy at -2.68 eV/atom. Its energy of formation from the pure elements is -126.5 meV per atom.

a b c (Å): 4.598 4.598 4.121
angles (deg): 90.00 90.00 90.00
Space group P4/mmm (No. 123)
Asymmetric unit:
Mg: 0.000 0.500 0.000 [2 per cell]
Ga: 0.000 0.000 0.500 [1 per cell]
Sn: 0.500 0.500 0.500 [1 per cell]

Record 3
Entry from the Alexandria database: InP2CO after structural relaxation (PBE).

Computed properties:
The density of states at the Fermi level comes out at 3.213 states/eV/cell. As for the excess energy over the best structure of this formula in the dataset: 0.00 eV per formula unit. The formation energy from raw total energies comes out at 962 meV per atom. The calculation puts the total energy at -4.59 eV/atom.

a b c (Å): 4.035 4.035 4.080
angles (deg): 90.00 90.00 90.00
Space group P4/mmm (No. 123)
Asymmetric unit:
In: 0.000 0.000 0.000 [1 per cell]
P: 0.000 0.500 0.500 [2 per cell]
C: 0.500 0.500 0.500 [1 per cell]
O: 0.500 0.500 0.000 [1 per cell]

Record 4
Entry from the Alexandria database: CoOs3 after structural relaxation (PBE).

Computed properties:
The density of states at the Fermi level comes out at 13.361 states/eV/cell. The calculation puts the total energy at -9.94 eV/atom. Its energy of formation from the pure elements is 258.2 meV per atom.

a b c (Å): 5.166 8.107 5.186
angles (deg): 90.00 90.00 90.00
Space group Pnma (No. 62)
Asymmetric unit:
Co: 0.075 0.250 0.059 [4 per cell]
Os: 0.034 0.250 0.557 [4 per cell]
Os: 0.193 0.513 0.812 [8 per cell]